Arrangement a

This record from Alexandria describes crystalline KTl2Os2 at its relaxed geometry. The functional is PBE.

Cell: 10.206 10.206 10.206 Å, 159.59 159.59 29.02°
Atoms (fractional coordinates):
K1 0.000 0.000 0.000
Tl1 0.369 0.369 0.000
Tl2 0.631 0.631 0.000
Os1 0.250 0.750 0.500
Os2 0.750 0.250 0.500

Results
Space-group type   I4/mmm
Density   10.645 Mg/m³

=====

Arrangement b

This record from Alexandria describes crystalline KTl2Os2 at its relaxed geometry. The functional is PBE.

Cell: 8.650 8.650 2.965 Å, 90.00 90.00 90.00°
Atoms (fractional coordinates):
K1 0.000 0.000 0.000
K2 0.500 0.500 0.000
Tl1 0.189 0.311 0.500
Tl2 0.311 0.811 0.500
Tl3 0.689 0.189 0.500
Tl4 0.811 0.689 0.500
Os1 0.097 0.597 0.000
Os2 0.403 0.097 0.000
Os3 0.597 0.903 0.000
Os4 0.903 0.403 0.000

Results
Space-group type   P4/mbm
Density   12.400 Mg/m³

=====

Arrangement c

This record from Alexandria describes crystalline KTl2Os2 at its relaxed geometry. The functional is PBE.

Cell: 5.983 5.983 5.983 Å, 129.89 129.89 73.58°
Atoms (fractional coordinates):
K1 0.000 0.000 0.000
Tl1 0.250 0.750 0.500
Tl2 0.750 0.250 0.500
Os1 0.381 0.381 0.000
Os2 0.619 0.619 0.000

Results
Space-group type   I4/mmm
Density   11.179 Mg/m³

=====

Energy above the most stable structure, in meV per atom: arrangement a 0; arrangement b 288; arrangement c 239

=====

Arrangement a

This record from Alexandria describes crystalline KTlOs3 at its relaxed geometry. The functional is PBE.

Cell: 5.140 5.140 5.140 Å, 90.00 90.00 90.00°
Atoms (fractional coordinates):
K1 0.000 0.000 0.000
Tl1 0.500 0.500 0.500
Os1 0.000 0.500 0.500
Os2 0.500 0.000 0.500
Os3 0.500 0.500 0.000

Results
Space-group type   Pm-3m
Density   9.954 Mg/m³

=====

Arrangement b

This record from Alexandria describes crystalline KTlOs3 at its relaxed geometry. The functional is PBE.

Cell: 4.803 4.803 4.803 Å, 90.00 90.00 90.00°
Atoms (fractional coordinates):
K1 0.000 0.000 0.000
Tl1 0.500 0.500 0.500
Os1 0.000 0.000 0.500
Os2 0.000 0.500 0.000
Os3 0.500 0.000 0.000

Results
Space-group type   Pm-3m
Density   12.205 Mg/m³

=====

Energy above the most stable structure, in meV per atom: arrangement a 0; arrangement b 827

=====

Arrangement a

This record from Alexandria describes crystalline KV2Os2 at its relaxed geometry. The functional is PBE.

Cell: 6.544 6.544 6.544 Å, 143.10 143.10 53.18°
Atoms (fractional coordinates):
K1 0.000 0.000 0.000
V1 0.361 0.361 0.000
V2 0.639 0.639 0.000
Os1 0.250 0.750 0.500
Os2 0.750 0.250 0.500

Results
Space-group type   I4/mmm
Density   8.624 Mg/m³

=====

Arrangement b

This record from Alexandria describes crystalline KV2Os2 at its relaxed geometry. The functional is PBE.

Cell: 7.876 7.876 2.715 Å, 90.00 90.00 90.00°
Atoms (fractional coordinates):
K1 0.000 0.000 0.000
K2 0.500 0.500 0.000
V1 0.140 0.360 0.000
V2 0.360 0.860 0.000
V3 0.640 0.140 0.000
V4 0.860 0.640 0.000
Os1 0.144 0.644 0.500
Os2 0.356 0.144 0.500
Os3 0.644 0.856 0.500
Os4 0.856 0.356 0.500

Results
Space-group type   P4/mbm
Density   10.282 Mg/m³

=====

Energy above the most stable structure, in meV per atom: arrangement a 148; arrangement b 0

=====

Arrangement a

This record from Alexandria describes crystalline KVOs2 at its relaxed geometry. The functional is PBE.

Cell: 9.007 9.007 9.007 Å, 148.10 148.10 45.74°
Atoms (fractional coordinates):
K1 0.000 0.000 0.000
K2 0.750 0.250 0.500
V1 0.250 0.750 0.500
V2 0.500 0.500 0.000
Os1 0.351 0.625 0.226
Os2 0.375 0.601 0.726
Os3 0.399 0.125 0.774
Os4 0.875 0.649 0.274

Results
Space-group type   I-42d
Density   7.684 Mg/m³

=====

Arrangement b

This record from Alexandria describes crystalline KVOs2 at its relaxed geometry. The functional is PBE.

Cell: 4.503 4.503 4.503 Å, 60.00 60.00 60.00°
Atoms (fractional coordinates):
K1 0.000 0.000 0.000
V1 0.500 0.500 0.500
Os1 0.250 0.250 0.250
Os2 0.750 0.750 0.750

Results
Space-group type   Fm-3m
Density   12.099 Mg/m³

=====

Energy above the most stable structure, in meV per atom: arrangement a 0; arrangement b 24

=====

Arrangement a

This record from Alexandria describes crystalline KV3Os at its relaxed geometry. The functional is PBE.

Cell: 4.216 4.216 4.216 Å, 90.00 90.00 90.00°
Atoms (fractional coordinates):
K1 0.000 0.000 0.000
V1 0.000 0.000 0.500
V2 0.000 0.500 0.000
V3 0.500 0.000 0.000
Os1 0.500 0.500 0.500

Results
Space-group type   Pm-3m
Density   8.469 Mg/m³

=====

Arrangement b

This record from Alexandria describes crystalline KV3Os at its relaxed geometry. The functional is PBE.

Cell: 4.866 4.866 4.866 Å, 90.00 90.00 90.00°
Atoms (fractional coordinates):
K1 0.000 0.000 0.000
V1 0.000 0.500 0.500
V2 0.500 0.000 0.500
V3 0.500 0.500 0.000
Os1 0.500 0.500 0.500

Results
Space-group type   Pm-3m
Density   5.508 Mg/m³

=====

Energy above the most stable structure, in meV per atom: arrangement a 1432; arrangement b 0

=====

Arrangement a

This record from Alexandria describes crystalline KVOs3 at its relaxed geometry. The functional is PBE.

Cell: 4.510 4.510 4.510 Å, 90.00 90.00 90.00°
Atoms (fractional coordinates):
K1 0.000 0.000 0.000
V1 0.500 0.500 0.500
Os1 0.000 0.000 0.500
Os2 0.000 0.500 0.000
Os3 0.500 0.000 0.000

Results
Space-group type   Pm-3m
Density   11.959 Mg/m³

=====

Arrangement b

This record from Alexandria describes crystalline KVOs3 at its relaxed geometry. The functional is PBE.

Cell: 4.635 4.635 4.635 Å, 90.00 90.00 90.00°
Atoms (fractional coordinates):
K1 0.000 0.000 0.000
V1 0.500 0.500 0.500
Os1 0.000 0.500 0.500
Os2 0.500 0.000 0.500
Os3 0.500 0.500 0.000

Results
Space-group type   Pm-3m
Density   11.015 Mg/m³

=====

Energy above the most stable structure, in meV per atom: arrangement a 1942; arrangement b 0

=====

Arrangement a

This record from Alexandria describes crystalline KOsW2 at its relaxed geometry. The functional is PBE.

Cell: 4.893 4.893 7.192 Å, 94.37 94.37 32.11°
Atoms (fractional coordinates):
K1 0.000 0.000 0.000
Os1 0.500 0.500 0.500
W1 0.224 0.224 0.650
W2 0.776 0.776 0.350

Results
Space-group type   C2/m
Density   10.865 Mg/m³

=====

Arrangement b

This record from Alexandria describes crystalline KOsW2 at its relaxed geometry. The functional is PBE.

Cell: 5.837 5.837 5.837 Å, 151.22 126.94 61.49°
Atoms (fractional coordinates):
K1 0.000 0.000 0.000
Os1 0.280 0.780 0.500
W1 0.490 0.490 0.000
W2 0.712 0.212 0.500

Results
Space-group type   Imm2
Density   13.059 Mg/m³

=====

Energy above the most stable structure, in meV per atom: arrangement a 0; arrangement b 238

=====

Arrangement a

This record from Alexandria describes crystalline KOsW2 at its relaxed geometry. The functional is PBE.

Cell: 5.613 5.613 2.638 Å, 90.00 90.00 120.64°
Atoms (fractional coordinates):
K1 0.000 0.000 0.000
Os1 0.500 0.500 0.000
W1 0.000 0.500 0.500
W2 0.500 0.000 0.500

Results
Space-group type   Cmmm
Density   13.862 Mg/m³

=====

Arrangement b

This record from Alexandria describes crystalline KOsW2 at its relaxed geometry. The functional is PBE.

Cell: 9.333 9.333 9.333 Å, 148.34 148.34 45.38°
Atoms (fractional coordinates):
K1 0.000 0.000 0.000
K2 0.750 0.250 0.500
Os1 0.250 0.750 0.500
Os2 0.500 0.500 0.000
W1 0.350 0.625 0.225
W2 0.375 0.600 0.725
W3 0.400 0.125 0.775
W4 0.875 0.650 0.275

Results
Space-group type   I-42d
Density   8.884 Mg/m³

=====

Energy above the most stable structure, in meV per atom: arrangement a 0; arrangement b 272

=====

Arrangement a

This record from Alexandria describes crystalline KOsW2 at its relaxed geometry. The functional is PBE.

Cell: 2.775 3.950 8.400 Å, 90.00 99.08 90.00°
Atoms (fractional coordinates):
K1 0.000 0.000 0.000
Os1 0.500 0.000 0.500
W1 0.068 0.500 0.650
W2 0.932 0.500 0.350

Results
Space-group type   P2/m
Density   10.903 Mg/m³

=====

Arrangement b

This record from Alexandria describes crystalline KOsW2 at its relaxed geometry. The functional is PBE.

Cell: 2.761 2.761 10.772 Å, 90.00 90.00 114.67°
Atoms (fractional coordinates):
K1 0.000 0.000 0.000
Os1 0.000 0.000 0.500
W1 0.500 0.500 0.292
W2 0.500 0.500 0.708

Results
Space-group type   Cmmm
Density   13.285 Mg/m³

=====

Arrangement c

This record from Alexandria describes crystalline KOsW2 at its relaxed geometry. The functional is PBE.

Cell: 6.304 6.304 6.304 Å, 155.68 129.60 56.72°
Atoms (fractional coordinates):
K1 0.000 0.000 0.000
Os1 0.500 0.500 0.000
W1 0.293 0.793 0.500
W2 0.707 0.207 0.500

Results
Space-group type   Immm
Density   12.536 Mg/m³

=====

Energy above the most stable structure, in meV per atom: arrangement a 0; arrangement b 70; arrangement c 327

=====

Arrangement a

This record from Alexandria describes crystalline KOsW2 at its relaxed geometry. The functional is PBE.

Cell: 3.430 3.430 8.188 Å, 90.00 90.00 90.00°
Atoms (fractional coordinates):
K1 0.000 0.000 0.000
Os1 0.000 0.000 0.500
W1 0.500 0.500 0.360
W2 0.500 0.500 0.640

Results
Space-group type   P4/mmm
Density   10.290 Mg/m³

=====

Arrangement b

This record from Alexandria describes crystalline KOsW2 at its relaxed geometry. The functional is PBE.

Cell: 2.817 2.817 9.866 Å, 90.00 90.00 90.00°
Atoms (fractional coordinates):
K1 0.000 0.000 0.000
Os1 0.500 0.500 0.287
W1 0.000 0.000 0.465
W2 0.500 0.500 0.678

Results
Space-group type   P4mm
Density   12.661 Mg/m³

=====

Energy above the most stable structure, in meV per atom: arrangement a 202; arrangement b 0

=====

Arrangement a

This record from Alexandria describes crystalline KOsW2 at its relaxed geometry. The functional is PBE.

Cell: 2.803 2.803 10.115 Å, 90.00 90.00 90.00°
Atoms (fractional coordinates):
K1 0.000 0.000 0.000
Os1 0.000 0.000 0.500
W1 0.500 0.500 0.314
W2 0.500 0.500 0.686

Results
Space-group type   P4/mmm
Density   12.475 Mg/m³

=====

Arrangement b

This record from Alexandria describes crystalline KOsW2 at its relaxed geometry. The functional is PBE.

Cell: 5.665 5.665 2.638 Å, 98.59 98.59 119.48°
Atoms (fractional coordinates):
K1 0.000 0.000 0.000
Os1 0.500 0.500 0.000
W1 0.000 0.500 0.500
W2 0.500 0.000 0.500

Results
Space-group type   C2/m
Density   14.081 Mg/m³

=====

Arrangement c

This record from Alexandria describes crystalline KOsW2 at its relaxed geometry. The functional is PBE.

Cell: 4.971 4.971 7.014 Å, 98.20 98.20 34.46°
Atoms (fractional coordinates):
K1 0.000 0.000 0.000
Os1 0.222 0.222 0.637
W1 0.504 0.504 0.516
W2 0.791 0.791 0.372

Results
Space-group type   Cm
Density   10.222 Mg/m³

=====

Arrangement d

This record from Alexandria describes crystalline KOsW2 at its relaxed geometry. The functional is PBE.

Cell: 2.708 5.108 5.197 Å, 90.00 90.00 90.00°
Atoms (fractional coordinates):
K1 0.000 0.000 0.000
Os1 0.500 0.000 0.500
W1 0.000 0.500 0.500
W2 0.500 0.500 0.000

Results
Space-group type   Pmmm
Density   13.791 Mg/m³

=====

Energy above the most stable structure, in meV per atom: arrangement a 0; arrangement b 601; arrangement c 212; arrangement d 773

=====

Arrangement a

This record from Alexandria describes crystalline KYOs2 at its relaxed geometry. The functional is PBE.

Cell: 5.766 5.766 5.766 Å, 148.16 130.06 60.46°
Atoms (fractional coordinates):
K1 0.000 0.000 0.000
Y1 0.500 0.500 0.000
Os1 0.261 0.761 0.500
Os2 0.739 0.239 0.500

Results
Space-group type   Immm
Density   11.007 Mg/m³

=====

Arrangement b

This record from Alexandria describes crystalline KYOs2 at its relaxed geometry. The functional is PBE.

Cell: 5.473 5.473 7.171 Å, 115.66 115.66 44.40°
Atoms (fractional coordinates):
K1 0.000 0.000 0.000
Y1 0.500 0.500 0.500
Os1 0.258 0.258 0.583
Os2 0.742 0.742 0.417

Results
Space-group type   C2/m
Density   6.356 Mg/m³

=====

Energy above the most stable structure, in meV per atom: arrangement a 411; arrangement b 0